The following is a PBE+U calculation of a relaxed MgCoAu2O6 crystal, from Alexandria.

abc: 4.965 6.891 6.891
angles: 87.42 89.50 89.50
Last column: magnetic moment on the atom in μB.
Atoms (fractional coordinates):
Co: 0.750 0.086 0.914  0.02
O: 0.976 0.344 0.867  0.02
Mg: 0.750 0.609 0.391  0.00
Au: 0.730 0.100 0.396  0.10
O: 0.436 0.151 0.059  0.05
O: 0.437 0.444 0.331  0.28
Au: 0.770 0.604 0.900  0.10
Co: 0.250 0.914 0.086  0.02
O: 0.476 0.867 0.344  0.02
Mg: 0.250 0.391 0.609  0.00
O: 0.064 0.941 0.849  0.05
O: 0.063 0.669 0.556  0.28
O: 0.936 0.059 0.151  0.05
O: 0.564 0.849 0.941  0.05
O: 0.563 0.556 0.669  0.28
O: 0.937 0.331 0.444  0.28
O: 0.524 0.133 0.656  0.02
Au: 0.270 0.900 0.604  0.10
O: 0.024 0.656 0.133  0.02
Au: 0.230 0.396 0.100  0.10

Computed properties:
Space-group type: C2/c, No. 15
DOS at the Fermi energy (states/eV per cell): 6.3
V (A^3/atom): 11.78
Total magnetic moment (μB per formula unit): 1.05
Total energy (Ry per atom): -0.3643
Crystal system: monoclinic